[1]
# IrOsRu2 (PBE, relaxed)
# **Final energy**: -9.619 eV/atom
# **ΔE to the lowest computed polymorph**: 0.19 eV per formula unit
# **Total moment**: 0.00 μB per cell
# **Energy relative to the elements**: 16.1 kJ/mol of formula units
data_IrOsRu2
_symmetry_space_group_name_H-M 'P 1 2/m 1'
_symmetry_Int_Tables_number 10
_cell_length_a 4.711
_cell_length_b 2.707
_cell_length_c 4.717
_cell_angle_alpha 90.00
_cell_angle_beta 109.67
_cell_angle_gamma 90.00
loop_
_symmetry_equiv_pos_as_xyz
'x,y,z'
'-x,-y,-z'
'-x,y,-z'
'x,-y,z'
loop_
_atom_site_label
_atom_site_type_symbol
_atom_site_fract_x
_atom_site_fract_y
_atom_site_fract_z
Ir1 Ir 0.000 0.000 0.000
Os1 Os 0.000 0.500 0.500
Ru1 Ru 0.500 0.000 0.500
Ru2 Ru 0.500 0.500 0.000

***

[2]
# Pr3DySc (PBE, relaxed)
# **Final energy**: -4.656 eV/atom
# **ΔE to the lowest computed polymorph**: 1.28 eV per formula unit
# **Total moment**: 0.00 μB per cell
# **Energy relative to the elements**: 192.3 kJ/mol of formula units
data_Pr3DySc
_symmetry_space_group_name_H-M 'I m m a'
_symmetry_Int_Tables_number 74
_symmetry_space_group_name_Hall '-I 2b 2'
_cell_length_a 5.853
_cell_length_b 18.317
_cell_length_c 6.494
_cell_angle_alpha 90.00
_cell_angle_beta 90.00
_cell_angle_gamma 90.00
loop_
_atom_site_label
_atom_site_type_symbol
_atom_site_fract_x
_atom_site_fract_y
_atom_site_fract_z
Pr1 Pr 0.000 0.091 0.014
Pr2 Pr 0.000 0.250 0.369
Dy1 Dy 0.000 0.250 0.837
Sc1 Sc 0.000 0.000 0.500